Record 1
First-principles (PBE-GGA) data for a relaxed structure of MnVSe3, as listed in the Alexandria database.

Cell: 4.8534 4.8534 4.8534 Å, 90.00 90.00 90.00°
Space group Pm-3m (No. 221)
Inequivalent atoms, fractional coordinates:
Mn 0.0000 0.0000 0.0000 (multiplicity 1)
V 0.5000 0.5000 0.5000 (multiplicity 1)
Se 0.0000 0.5000 0.5000 (multiplicity 3)

Properties
* energy above the most stable polymorph in this dataset: 720 meV/atom
* final energy: -28.04 eV/f.u.

Record 2
First-principles (PBE-GGA) data for a relaxed structure of MnZn4Te5, as listed in the Alexandria database.

Cell: 4.3825 4.3825 36.0935 Å, 90.00 90.00 120.00°
Space group P3m1 (No. 156)
Inequivalent atoms, fractional coordinates:
Mn 0.0000 0.0000 0.0000 (multiplicity 1)
Mn 0.0000 0.0000 0.2027 (multiplicity 1)
Zn 0.0000 0.0000 0.4036 (multiplicity 1)
Zn 0.0000 0.0000 0.6018 (multiplicity 1)
Zn 0.0000 0.0000 0.8000 (multiplicity 1)
Zn 0.3333 0.6667 0.1020 (multiplicity 1)
Zn 0.3333 0.6667 0.3047 (multiplicity 1)
Zn 0.3333 0.6667 0.5028 (multiplicity 1)
Zn 0.3333 0.6667 0.7009 (multiplicity 1)
Zn 0.3333 0.6667 0.8991 (multiplicity 1)
Te 0.0000 0.0000 0.1270 (multiplicity 1)
Te 0.0000 0.0000 0.3293 (multiplicity 1)
Te 0.0000 0.0000 0.5275 (multiplicity 1)
Te 0.0000 0.0000 0.7257 (multiplicity 1)
Te 0.0000 0.0000 0.9244 (multiplicity 1)
Te 0.3333 0.6667 0.0277 (multiplicity 1)
Te 0.3333 0.6667 0.2304 (multiplicity 1)
Te 0.3333 0.6667 0.4285 (multiplicity 1)
Te 0.3333 0.6667 0.6266 (multiplicity 1)
Te 0.3333 0.6667 0.8248 (multiplicity 1)

Properties
* final energy: -33.78 eV/f.u.

Record 3
First-principles (PBE-GGA) data for a relaxed structure of CsSrPb2F8, as listed in the Alexandria database.

Cell: 4.2231 8.3506 6.2494 Å, 90.00 90.06 90.00°
Space group P2/m (No. 10)
Inequivalent atoms, fractional coordinates:
Cs 0.0000 0.0000 0.0000 (multiplicity 1)
Sr 0.0000 0.5000 0.0000 (multiplicity 1)
Pb 0.5000 0.2520 0.5000 (multiplicity 2)
F 0.0001 0.2792 0.2827 (multiplicity 4)
F 0.4992 0.0000 0.6962 (multiplicity 2)
F 0.5002 0.5000 0.2401 (multiplicity 2)

Properties
* final energy: -57.14 eV/f.u.

Record 4
First-principles (PBE-GGA) data for a relaxed structure of UPaCSe2, as listed in the Alexandria database.

Cell: 4.0133 4.0133 13.9745 Å, 90.00 90.00 90.00°
Space group P4/nmm (No. 129, origin choice 2)
Inequivalent atoms, fractional coordinates:
U 0.2500 0.2500 0.1048 (multiplicity 2)
Pa 0.2500 0.2500 0.5824 (multiplicity 2)
C 0.2500 0.7500 0.5000 (multiplicity 2)
Se 0.2500 0.2500 0.3018 (multiplicity 2)
Se 0.2500 0.2500 0.8929 (multiplicity 2)

Properties
* final energy: -41.44 eV/f.u.